[1]
VASP calculation (PBE-GGA) on Pm2PrOs after structural relaxation.

Cell and atoms, written as CIF:
```
data_Pm2PrOs
_cell_length_a 3.4942
_cell_length_b 3.4942
_cell_length_c 9.6676
_cell_angle_alpha 90.00
_cell_angle_beta 90.00
_cell_angle_gamma 90.00
_symmetry_space_group_name_H-M 'P 4/m m m'
_symmetry_Int_Tables_number 123
_symmetry_space_group_name_Hall '-P 4 2'
loop_
_atom_site_label
_atom_site_type_symbol
_atom_site_fract_x
_atom_site_fract_y
_atom_site_fract_z
Pm1 Pm 0.0000 0.0000 0.1764
Pr1 Pr 0.5000 0.5000 0.5000
Os1 Os 0.5000 0.5000 0.0000
```

## Properties
Distance to the lowest polymorph of the same formula   0.125 eV per atom
M_tot   0.00 μB/f.u.
E_form   0.01 eV per atom

[2]
VASP calculation (PBE-GGA) on PmPr2Os after structural relaxation.

Cell and atoms, written as CIF:
```
data_PmPr2Os
_cell_length_a 3.5224
_cell_length_b 3.5224
_cell_length_c 9.7587
_cell_angle_alpha 90.00
_cell_angle_beta 90.00
_cell_angle_gamma 90.00
_symmetry_space_group_name_H-M 'P 4/m m m'
_symmetry_Int_Tables_number 123
_symmetry_space_group_name_Hall '-P 4 2'
loop_
_atom_site_label
_atom_site_type_symbol
_atom_site_fract_x
_atom_site_fract_y
_atom_site_fract_z
Pm1 Pm 0.0000 0.0000 0.0000
Pr1 Pr 0.5000 0.5000 0.3216
Os1 Os 0.0000 0.0000 0.5000
```

## Properties
Distance to the lowest polymorph of the same formula   0.193 eV per atom
M_tot   0.00 μB/f.u.
E_form   0.10 eV per atom

[3]
VASP calculation (PBE-GGA) on PmPr3Os after structural relaxation.

Cell and atoms, written as CIF:
```
data_PmPr3Os
_cell_length_a 12.2164
_cell_length_b 8.9079
_cell_length_c 8.4830
_cell_angle_alpha 90.00
_cell_angle_beta 133.74
_cell_angle_gamma 90.00
_symmetry_space_group_name_H-M 'C 1 2/m 1'
_symmetry_Int_Tables_number 12
_symmetry_space_group_name_Hall '-C 2y'
loop_
_atom_site_label
_atom_site_type_symbol
_atom_site_fract_x
_atom_site_fract_y
_atom_site_fract_z
Pm1 Pm 0.0508 0.0000 0.2511
Pr1 Pr 0.0517 0.5000 0.3472
Pr2 Pr 0.2488 0.1971 0.7948
Os1 Os 0.2487 0.0000 0.1315
```

## Properties
Distance to the lowest polymorph of the same formula   0.000 eV per atom
M_tot   0.00 μB/f.u.
E_form   -0.06 eV per atom

[4]
VASP calculation (PBE-GGA) on PmPr2Os after structural relaxation.

Cell and atoms, written as CIF:
```
data_PmPr2Os
_cell_length_a 7.4974
_cell_length_b 9.7397
_cell_length_c 6.5463
_cell_angle_alpha 90.00
_cell_angle_beta 90.00
_cell_angle_gamma 90.00
_symmetry_space_group_name_H-M 'P n m a'
_symmetry_Int_Tables_number 62
_symmetry_space_group_name_Hall '-P 2ac 2n'
loop_
_atom_site_label
_atom_site_type_symbol
_atom_site_fract_x
_atom_site_fract_y
_atom_site_fract_z
Pm1 Pm 0.0437 0.2500 0.1433
Pr1 Pr 0.1749 0.0662 0.6707
Os1 Os 0.1146 0.7500 0.4533
```

## Properties
Distance to the lowest polymorph of the same formula   0.000 eV per atom
M_tot   0.00 μB/f.u.
E_form   -0.09 eV per atom

[5]
VASP calculation (PBE-GGA) on PmPrOsPt after structural relaxation.

Cell and atoms, written as CIF:
```
data_PmPrOsPt
_cell_length_a 7.1300
_cell_length_b 7.1300
_cell_length_c 7.1300
_cell_angle_alpha 90.00
_cell_angle_beta 90.00
_cell_angle_gamma 90.00
_symmetry_space_group_name_H-M 'F -4 3 m'
_symmetry_Int_Tables_number 216
_symmetry_space_group_name_Hall 'F -4 2 3'
loop_
_atom_site_label
_atom_site_type_symbol
_atom_site_fract_x
_atom_site_fract_y
_atom_site_fract_z
Pm1 Pm 0.0000 0.0000 0.0000
Pr1 Pr 0.0000 0.0000 0.5000
Os1 Os 0.2500 0.2500 0.7500
Pt1 Pt 0.2500 0.2500 0.2500
```

## Properties
M_tot   0.00 μB/f.u.
E_form   -0.41 eV per atom

[6]
VASP calculation (PBE-GGA) on Pm8OsPt2 after structural relaxation.

Cell and atoms, written as CIF:
```
data_Pm8OsPt2
_cell_length_a 17.7755
_cell_length_b 5.0815
_cell_length_c 6.9423
_cell_angle_alpha 90.00
_cell_angle_beta 100.13
_cell_angle_gamma 90.00
_symmetry_space_group_name_H-M 'C 1 2/m 1'
_symmetry_Int_Tables_number 12
_symmetry_space_group_name_Hall '-C 2y'
loop_
_atom_site_label
_atom_site_type_symbol
_atom_site_fract_x
_atom_site_fract_y
_atom_site_fract_z
Pm1 Pm 0.0343 0.0000 0.2866
Pm2 Pm 0.0864 0.5000 0.9311
Pm3 Pm 0.1629 0.5000 0.4634
Pm4 Pm 0.2035 0.0000 0.8282
Os1 Os 0.0000 0.5000 0.5000
Pt1 Pt 0.2009 0.0000 0.2368
```

## Properties
Distance to the lowest polymorph of the same formula   0.000 eV per atom
M_tot   0.00 μB/f.u.
E_form   -0.45 eV per atom

[7]
VASP calculation (PBE-GGA) on Pm4OsPt after structural relaxation.

Cell and atoms, written as CIF:
```
data_Pm4OsPt
_cell_length_a 9.1606
_cell_length_b 13.3878
_cell_length_c 6.4213
_cell_angle_alpha 90.00
_cell_angle_beta 122.88
_cell_angle_gamma 90.00
_symmetry_space_group_name_H-M 'C 1 2/c 1'
_symmetry_Int_Tables_number 15
_symmetry_space_group_name_Hall '-C 2yc'
loop_
_atom_site_label
_atom_site_type_symbol
_atom_site_fract_x
_atom_site_fract_y
_atom_site_fract_z
Pm1 Pm 0.1252 0.1750 0.0935
Pm2 Pm 0.2009 0.4348 0.2775
Os1 Os 0.0000 0.0028 0.7500
Pt1 Pt 0.0000 0.3650 0.7500
```

## Properties
M_tot   0.00 μB/f.u.
E_form   -0.48 eV per atom

[8]
VASP calculation (PBE-GGA) on Pm5Os2Pt after structural relaxation.

Cell and atoms, written as CIF:
```
data_Pm5Os2Pt
_cell_length_a 7.6557
_cell_length_b 7.6557
_cell_length_c 14.1269
_cell_angle_alpha 90.00
_cell_angle_beta 90.00
_cell_angle_gamma 90.00
_symmetry_space_group_name_H-M 'I 4/m c m'
_symmetry_Int_Tables_number 140
_symmetry_space_group_name_Hall '-I 4 2c'
loop_
_atom_site_label
_atom_site_type_symbol
_atom_site_fract_x
_atom_site_fract_y
_atom_site_fract_z
Pm1 Pm 0.0000 0.0000 0.0000
Pm2 Pm 0.1775 0.3225 0.1401
Os1 Os 0.1176 0.3824 0.5000
Pt1 Pt 0.0000 0.0000 0.2500
```

## Properties
M_tot   0.00 μB/f.u.
E_form   -0.38 eV per atom

[9]
VASP calculation (PBE-GGA) on Pm8OsPt2 after structural relaxation.

Cell and atoms, written as CIF:
```
data_Pm8OsPt2
_cell_length_a 8.5711
_cell_length_b 12.8236
_cell_length_c 6.3890
_cell_angle_alpha 90.00
_cell_angle_beta 111.73
_cell_angle_gamma 90.00
_symmetry_space_group_name_H-M 'C 1 m 1'
_symmetry_Int_Tables_number 8
_symmetry_space_group_name_Hall 'C -2y'
loop_
_atom_site_label
_atom_site_type_symbol
_atom_site_fract_x
_atom_site_fract_y
_atom_site_fract_z
Pm1 Pm 0.0000 0.0000 0.0000
Pm2 Pm 0.0642 0.3694 0.7875
Pm3 Pm 0.1383 0.1302 0.5555
Pm4 Pm 0.2017 0.5000 0.3727
Pm5 Pm 0.3473 0.1993 0.1846
Os1 Os 0.3529 0.0000 0.3804
Pt1 Pt 0.3553 0.3160 0.6844
```

## Properties
Distance to the lowest polymorph of the same formula   0.073 eV per atom
M_tot   0.00 μB/f.u.
E_form   -0.38 eV per atom

[10]
VASP calculation (PBE-GGA) on PmPuOsPt after structural relaxation.

Cell and atoms, written as CIF:
```
data_PmPuOsPt
_cell_length_a 6.9813
_cell_length_b 6.9813
_cell_length_c 6.9813
_cell_angle_alpha 90.00
_cell_angle_beta 90.00
_cell_angle_gamma 90.00
_symmetry_space_group_name_H-M 'F -4 3 m'
_symmetry_Int_Tables_number 216
_symmetry_space_group_name_Hall 'F -4 2 3'
loop_
_atom_site_label
_atom_site_type_symbol
_atom_site_fract_x
_atom_site_fract_y
_atom_site_fract_z
Pm1 Pm 0.0000 0.0000 0.0000
Pu1 Pu 0.0000 0.0000 0.5000
Os1 Os 0.2500 0.2500 0.7500
Pt1 Pt 0.2500 0.2500 0.2500
```

## Properties
M_tot   4.60 μB/f.u.
E_form   -0.34 eV per atom

[11]
VASP calculation (PBE-GGA) on PmSi2OsPt after structural relaxation.

Cell and atoms, written as CIF:
```
data_PmSi2OsPt
_cell_length_a 4.1240
_cell_length_b 4.1240
_cell_length_c 10.1798
_cell_angle_alpha 90.00
_cell_angle_beta 90.00
_cell_angle_gamma 90.00
_symmetry_space_group_name_H-M 'I -4 m 2'
_symmetry_Int_Tables_number 119
_symmetry_space_group_name_Hall 'I -4 -2'
loop_
_atom_site_label
_atom_site_type_symbol
_atom_site_fract_x
_atom_site_fract_y
_atom_site_fract_z
Pm1 Pm 0.0000 0.0000 0.0000
Si1 Si 0.0000 0.0000 0.3777
Os1 Os 0.0000 0.5000 0.2500
Pt1 Pt 0.0000 0.5000 0.7500
```

## Properties
Formation energy without anion corrections   -904 meV/atom
M_tot   0.00 μB/f.u.

[12]
VASP calculation (PBE-GGA) on Pm2Si4OsPt3 after structural relaxation.

Cell and atoms, written as CIF:
```
data_Pm2Si4OsPt3
_cell_length_a 4.1974
_cell_length_b 4.1974
_cell_length_c 9.9780
_cell_angle_alpha 90.00
_cell_angle_beta 90.00
_cell_angle_gamma 90.00
_symmetry_space_group_name_H-M 'P -4 m 2'
_symmetry_Int_Tables_number 115
_symmetry_space_group_name_Hall 'P -4 -2'
loop_
_atom_site_label
_atom_site_type_symbol
_atom_site_fract_x
_atom_site_fract_y
_atom_site_fract_z
Pm1 Pm 0.0000 0.5000 0.2445
Si1 Si 0.0000 0.0000 0.0000
Si2 Si 0.0000 0.5000 0.6293
Si3 Si 0.5000 0.5000 0.0000
Os1 Os 0.0000 0.0000 0.5000
Pt1 Pt 0.0000 0.5000 0.8747
Pt2 Pt 0.5000 0.5000 0.5000
```

## Properties
Formation energy without anion corrections   -1041 meV/atom
M_tot   0.00 μB/f.u.

Record-wise D(E_F) values, in states/eV per cell: 2.94 3.30 20.59 15.48 10.17 23.66 24.67 25.12 23.25 32.40 3.68 2.73